(1)
VASP calculation (PBE) on a relaxed Ac2TeSe3 crystal.

Computed properties:
Total magnetization (μB/f.u.): 0.0
Fermi-level density of states (states/eV/cell): 5.5
Volume (Å³/cell): 384.8

a = 4.068 Å, b = 5.218 Å, c = 18.126 Å
α = 90.00°, β = 90.00°, γ = 90.00°
Space group Immm (No. 71)
Asymmetric unit:
Ac1 0.000 0.000 0.142 (multiplicity 4)
Te1 0.000 0.000 0.500 (multiplicity 2)
Se1 0.000 0.000 0.311 (multiplicity 4)
Se2 0.000 0.500 0.500 (multiplicity 2)

***

(2)
VASP calculation (PBE) on a relaxed Ac2TeSe3 crystal.

Computed properties:
Total magnetization (μB/f.u.): 0.0
Fermi-level density of states (states/eV/cell): 0.5
Volume (Å³/cell): 178.7

a = 4.427 Å, b = 4.427 Å, c = 9.119 Å
α = 90.00°, β = 90.00°, γ = 90.00°
Space group P-4m2 (No. 115)
Asymmetric unit:
Ac1 0.000 0.500 0.215 (multiplicity 2)
Te1 0.000 0.000 0.500 (multiplicity 1)
Se1 0.000 0.500 0.865 (multiplicity 2)
Se2 0.500 0.500 0.500 (multiplicity 1)

***

Most stable structure - (2); separation to the second - 0.386 eV/atom.